No. 1
The following is a PBE calculation of a relaxed structure of CaCu2Pb, from the Alexandria database.

Cell: 4.324 3.598 5.814 Å, 90.00 90.00 90.00°
Fractional positions:
Pb (0.500, 0.250, 0.250)
Ca (0.500, 0.750, 0.750)
Cu (0.000, 0.250, 0.963)
Cu (0.000, 0.250, 0.537)

Output
The density of states at the Fermi level comes out at 1.64 states/eV/cell. The total energy is -3.48 eV per atom. The symmetry is No. 47.

=====

No. 2
The following is a PBE calculation of a relaxed structure of TlS2I, from the Alexandria database.

Cell: 5.123 5.123 5.123 Å, 60.00 60.00 60.00°
Fractional positions:
I (0.000, 0.000, 0.000)
Tl (0.500, 0.500, 0.500)
S (0.250, 0.250, 0.250)
S (0.750, 0.750, 0.750)

Output
The density of states at the Fermi level comes out at 4.03 states/eV/cell. The energy above the most stable polymorph in this dataset comes out at 0.5349 eV/atom. For the uncorrected formation energy, the calculation gives 577 meV/atom. The symmetry is No. 225.

=====

No. 3
The following is a PBE calculation of a relaxed structure of La9PrTm2, from the Alexandria database.

Cell: 5.207 5.207 15.661 Å, 90.00 90.00 90.00°
Fractional positions:
La (0.500, 0.500, 0.000)
La (0.500, 0.500, 0.335)
La (0.500, 0.500, 0.665)
La (0.500, 0.000, 0.170)
La (0.500, 0.000, 0.500)
La (0.500, 0.000, 0.830)
La (0.000, 0.500, 0.170)
La (0.000, 0.500, 0.500)
La (0.000, 0.500, 0.830)
Pr (0.000, 0.000, 0.000)
Tm (0.000, 0.000, 0.335)
Tm (0.000, 0.000, 0.665)

Output
The density of states at the Fermi level comes out at 17.15 states/eV/cell. The total energy is -4.83 eV per atom. The symmetry is No. 123.

=====

No. 4
The following is a PBE calculation of a relaxed structure of AlTc, from the Alexandria database.

Cell: 8.879 8.879 8.879 Å, 18.27 18.27 18.27°
Fractional positions:
Tc (0.502, 0.502, 0.502)
Tc (0.248, 0.248, 0.248)
Al (0.997, 0.997, 0.997)
Al (0.753, 0.753, 0.753)

Output
The density of states at the Fermi level comes out at 1.52 states/eV/cell. The energy above the most stable polymorph in this dataset comes out at 0.1989 eV/atom. The symmetry is No. 166.